Density functional theory data (PBE) for a relaxed structure of MnAlPt.

Total magnetic moment, μB/f.u.: 3.675
DFT total energy, eV/cell: -80.7

Lattice parameters (Å, degrees): 5.964 5.964 5.964 90.00 90.00 90.00
Atoms (fractional coordinates):
Mn 0.000 0.000 0.000
Mn 0.000 0.500 0.500
Mn 0.500 0.000 0.500
Mn 0.500 0.500 0.000
Al 0.000 0.000 0.500
Al 0.000 0.500 0.000
Al 0.500 0.000 0.000
Al 0.500 0.500 0.500
Pt 0.250 0.250 0.750
Pt 0.250 0.750 0.250
Pt 0.750 0.250 0.250
Pt 0.750 0.750 0.750